Hf6NiIr3 | the Alexandria database | GGA-PBE | relaxed; magnetization = 0.00 μB per cell; calculated volume = 20.1 A^3/atom; ρ = 14.098 g/cm³; calculated formation energy = -498 meV per atom; space group = P2_1/c (14)
1.0
6.7194 0.0000 -0.1749
0.0000 6.6597 0.0000
-0.1582 0.0000 8.9867
Ir Hf Ni
6 12 2
Direct
0.5499 0.8567 0.7228 Ir
0.9501 0.3567 0.7772 Ir
0.5000 0.5000 0.0000 Ir
0.0499 0.6433 0.2228 Ir
0.0000 0.0000 0.5000 Ir
0.4501 0.1433 0.2772 Ir
0.1562 0.3473 0.4279 Hf
0.8397 0.6697 0.9348 Hf
0.3438 0.8473 0.0721 Hf
0.6562 0.1527 0.9279 Hf
0.1603 0.3303 0.0652 Hf
0.6603 0.1697 0.5652 Hf
0.7041 0.4488 0.2567 Hf
0.7959 0.9488 0.2433 Hf
0.3397 0.8303 0.4348 Hf
0.2959 0.5512 0.7433 Hf
0.2041 0.0512 0.7567 Hf
0.8438 0.6527 0.5721 Hf
0.0000 0.0000 0.0000 Ni
0.5000 0.5000 0.5000 Ni